Density functional theory data (GGA+U) for a relaxed AcV2F8 crystal.

POSCAR file:
```
AcV2F8
1.0
4.9647 -3.9982 0.0000
4.9647 3.9982 0.0000
-0.7127 0.0000 4.1943
Ac V F
1 2 8
direct
0.0000 0.0000 0.0000
0.3756 0.3756 0.7127
0.6244 0.6244 0.2873
0.1397 0.6328 0.7564
0.1688 0.1688 0.6457
0.3672 0.8603 0.2436
0.4068 0.4068 0.2290
0.5932 0.5932 0.7710
0.6328 0.1397 0.7564
0.8312 0.8312 0.3543
0.8603 0.3672 0.2436
```

E_tot   -6.2800 eV/atom
Crystal system   monoclinic